# 1
Material: LiPuTc2
Method: DFT, GGA-PBE
State: relaxed

Summary:
Final energy ... -9.011 eV per atom
Energy of formation from the pure elements ... 0.234 eV/atom
Calculated volume ... 15.69 A^3/atom
Total magnetic moment ... 2.103 μB per formula unit
ΔE to the lowest computed polymorph ... 0.248 eV per formula unit

abc: 4.279 4.279 3.427
angles: 90.00 90.00 90.00
Space group P4/mmm (No. 123)
Asymmetric unit:
Li 0.000 0.000 0.000
Pu 0.500 0.500 0.000
Tc 0.000 0.500 0.500

=====

# 2
Material: LiPuTc2
Method: DFT, GGA-PBE
State: relaxed

Summary:
Final energy ... -9.073 eV per atom
Energy of formation from the pure elements ... 0.172 eV/atom
Calculated volume ... 15.47 A^3/atom
Total magnetic moment ... 2.883 μB per formula unit
ΔE to the lowest computed polymorph ... 0.000 eV per formula unit

abc: 6.279 6.279 6.279
angles: 90.00 90.00 90.00
Space group Fm-3m (No. 225)
Asymmetric unit:
Li 0.000 0.000 0.000
Pu 0.000 0.000 0.500
Tc 0.250 0.250 0.250

=====

# 3
Material: LiPuThTc
Method: DFT, GGA-PBE
State: relaxed

Summary:
Final energy ... -8.409 eV per atom
Energy of formation from the pure elements ... 0.099 eV/atom
Calculated volume ... 21.82 A^3/atom
Total magnetic moment ... 5.667 μB per formula unit

abc: 7.041 7.041 7.041
angles: 90.00 90.00 90.00
Space group F-43m (No. 216)
Asymmetric unit:
Li 0.000 0.000 0.000
Pu 0.250 0.250 0.250
Th 0.250 0.250 0.750
Tc 0.000 0.000 0.500

=====

# 4
Material: LiPuTiTc
Method: DFT, GGA-PBE
State: relaxed

Summary:
Final energy ... -8.556 eV per atom
Energy of formation from the pure elements ... 0.071 eV/atom
Calculated volume ... 17.34 A^3/atom
Total magnetic moment ... 5.395 μB per formula unit

abc: 6.522 6.522 6.522
angles: 90.00 90.00 90.00
Space group F-43m (No. 216)
Asymmetric unit:
Li 0.000 0.000 0.000
Pu 0.250 0.250 0.750
Ti 0.250 0.250 0.250
Tc 0.000 0.000 0.500